Compound: Be2Pt
Source: the Alexandria database
Functional: PBE
Structure: relaxed

Lattice parameters (Å, degrees): 3.782 3.782 3.782 60.00 60.00 60.00
Fractional positions:
Be  0.250  0.250  0.250
Be  0.750  0.750  0.750
Pt  0.000  0.000  0.000

Calculated values
The value obtained for the excess energy over the best structure of this formula in the dataset is 334.9 meV per atom. For the total energy, the calculation gives -14.43 eV per formula unit. The value obtained for the formation energy is -0.31 eV/atom. The density comes out at 9.2 g cm⁻³.